A plane-wave DFT calculation with GGA-PBE was carried out for a geometry-optimized LaTaCo2 structure.

Values from the calculation:
D(E_F)	14.41	states/eV per cell
energy of formation from the pure elements	0.414	eV/atom

```
data_LaTaCo2
_cell_length_a 7.005
_cell_length_b 7.005
_cell_length_c 6.163
_cell_angle_alpha 90.00
_cell_angle_beta 90.00
_cell_angle_gamma 90.00
_space_group_name_H-M_alt 'I -4 2 d'
_space_group_IT_number 122
_space_group_name_Hall 'I -4 2bw'
loop_
_atom_site_label
_atom_site_fract_x
_atom_site_fract_y
_atom_site_fract_z
La1 0.000 0.000 0.000
Ta1 0.000 0.000 0.500
Co1 0.209 0.750 0.625
```